InIr2Se | PBE | relaxed

**Symmetry**: R-3m
**Relative energy among the computed polymorphs**: 0.0486 eV/atom
**Volume**: 67.2 Å³ per cell
**Uncorrected formation energy**: 0.22 eV/atom

abc: 8.602 8.602 8.602
angles: 20.32 20.32 20.32
Sites, in units of the cell vectors:
In1 0.000 0.000 0.000
Ir1 0.246 0.246 0.246
Ir2 0.754 0.754 0.754
Se1 0.500 0.500 0.500